# CaAuCl6 (PBE-GGA, relaxed)
data_CaAuCl6
_chemical_formula_sum 'Ca2 Au2 Cl12'
_cell_length_a 6.716
_cell_length_b 11.272
_cell_length_c 7.690
_cell_angle_alpha 90.00
_cell_angle_beta 114.11
_cell_angle_gamma 90.00
_symmetry_space_group_name_H-M 'C 1 2/m 1'
_symmetry_Int_Tables_number 12
_symmetry_space_group_name_Hall '-C 2y'
loop_
_atom_site_label
_atom_site_type_symbol
_atom_site_fract_x
_atom_site_fract_y
_atom_site_fract_z
_atom_site_occupancy
Ca1 Ca 0.000 0.000 0.000 1
Au1 Au 0.000 0.000 0.500 1
Cl1 Cl 0.037 0.148 0.303 1
Cl2 Cl 0.055 0.500 0.855 1
# Raw formation energy, eV/atom: -0.94
# Energy above the most stable polymorph in this dataset, meV/atom: 0
# Calculated volume, Å³ per cell: 531.4
# VASP energy, eV for the cell shown: -47.7


# Ti2PF (PBE-GGA, relaxed)
data_Ti2PF
_chemical_formula_sum 'Ti8 P4 F4'
_cell_length_a 4.686
_cell_length_b 4.686
_cell_length_c 12.243
_cell_angle_alpha 90.00
_cell_angle_beta 90.00
_cell_angle_gamma 90.00
_symmetry_space_group_name_H-M 'I -4 2 d'
_symmetry_Int_Tables_number 122
_symmetry_space_group_name_Hall 'I -4 2bw'
loop_
_atom_site_label
_atom_site_type_symbol
_atom_site_fract_x
_atom_site_fract_y
_atom_site_fract_z
_atom_site_occupancy
Ti1 Ti 0.193 0.250 0.125 1
P1 P 0.000 0.000 0.500 1
F1 F 0.000 0.000 0.000 1
# Raw formation energy, eV/atom: -0.96
# Energy above the most stable polymorph in this dataset, meV/atom: 293
# Calculated volume, Å³ per cell: 268.8
# VASP energy, eV for the cell shown: -107.7


# GdMgNi (PBE-GGA, relaxed)
data_GdMgNi
_chemical_formula_sum 'Gd4 Mg4 Ni4'
_cell_length_a 6.497
_cell_length_b 6.497
_cell_length_c 6.497
_cell_angle_alpha 90.00
_cell_angle_beta 90.00
_cell_angle_gamma 90.00
_symmetry_space_group_name_H-M 'F -4 3 m'
_symmetry_Int_Tables_number 216
_symmetry_space_group_name_Hall 'F -4 2 3'
loop_
_atom_site_label
_atom_site_type_symbol
_atom_site_fract_x
_atom_site_fract_y
_atom_site_fract_z
_atom_site_occupancy
Gd1 Gd 0.000 0.000 0.000 1
Mg1 Mg 0.000 0.000 0.500 1
Ni1 Ni 0.250 0.250 0.750 1
# Formation energy from the elements, eV/atom: -0.15
# Calculated volume, Å³ per cell: 274.2
# VASP energy, eV for the cell shown: -87.6


# Li2PrZnAu4 (PBE-GGA, relaxed)
data_Li2PrZnAu4
_chemical_formula_sum 'Li6 Pr3 Zn3 Au12'
_cell_length_a 4.5142
_cell_length_b 4.5142
_cell_length_c 26.0613
_cell_angle_alpha 90.00
_cell_angle_beta 90.00
_cell_angle_gamma 120.00
_symmetry_space_group_name_H-M 'R -3 m'
_symmetry_Int_Tables_number 166
_symmetry_space_group_name_Hall '-R 3 2"'
loop_
_atom_site_label
_atom_site_type_symbol
_atom_site_fract_x
_atom_site_fract_y
_atom_site_fract_z
_atom_site_occupancy
Li1 Li 0.0000 0.0000 0.2348 1
Pr1 Pr 0.0000 0.0000 0.0000 1
Zn1 Zn 0.0000 0.0000 0.5000 1
Au1 Au 0.0000 0.0000 0.1283 1
Au2 Au 0.0000 0.0000 0.3992 1
# Formation energy from the elements, eV/atom: -0.55
# Calculated volume, Å³ per cell: 459.9
# VASP energy, eV for the cell shown: -82.2


# K2NbAs (PBE-GGA, relaxed)
data_K2NbAs
_chemical_formula_sum 'K8 Nb4 As4'
_cell_length_a 12.495
_cell_length_b 12.495
_cell_length_c 5.065
_cell_angle_alpha 90.00
_cell_angle_beta 90.00
_cell_angle_gamma 90.00
_symmetry_space_group_name_H-M 'I -4 2 d'
_symmetry_Int_Tables_number 122
_symmetry_space_group_name_Hall 'I -4 2bw'
loop_
_atom_site_label
_atom_site_type_symbol
_atom_site_fract_x
_atom_site_fract_y
_atom_site_fract_z
_atom_site_occupancy
K1 K 0.075 0.250 0.125 1
Nb1 Nb 0.000 0.000 0.500 1
As1 As 0.000 0.000 0.000 1
# Formation energy from the elements, eV/atom: 0.40
# Calculated volume, Å³ per cell: 790.7
# VASP energy, eV for the cell shown: -61.3


# Sr2InMo (PBE-GGA, relaxed)
data_Sr2InMo
_chemical_formula_sum 'Sr2 In1 Mo1'
_cell_length_a 3.930
_cell_length_b 4.124
_cell_length_c 7.725
_cell_angle_alpha 90.00
_cell_angle_beta 90.06
_cell_angle_gamma 90.00
_symmetry_space_group_name_H-M 'P 1 2/m 1'
_symmetry_Int_Tables_number 10
_symmetry_space_group_name_Hall '-P 2y'
loop_
_atom_site_label
_atom_site_type_symbol
_atom_site_fract_x
_atom_site_fract_y
_atom_site_fract_z
_atom_site_occupancy
Sr1 Sr 0.000 0.000 0.241 1
In1 In 0.500 0.500 0.500 1
Mo1 Mo 0.500 0.500 0.000 1
# Formation energy from the elements, eV/atom: 0.57
# Calculated volume, Å³ per cell: 125.2
# VASP energy, eV for the cell shown: -14.7


Q: Among the records above, which one has the highest calculated volume?
A: K2NbAs


Q: VASP energy of number 2 (Ti2PF)?
A: -107.7 eV for the cell shown


Q: What is the calculated volume in the third record?
A: 274.2 Å³ per cell